1.
Compound: LaCeCdOs
Source: Alexandria
Functional: GGA-PBE
Structure: relaxed Values from VASP.

## Properties
Energy relative to the elements   -4 kJ per mole of atoms
Uncorrected energy   -23.2 eV for the cell shown
Crystal system   cubic
Total magnetic moment   0.3 μB per formula unit

```
&SYSTEM
  ibrav = 0, nat = 4, ntyp = 4
/
ATOMIC_SPECIES
Cd 112.41 Cd.upf
Os 190.23 Os.upf
Ce 140.12 Ce.upf
La 138.91 La.upf
CELL_PARAMETERS angstrom
5.185 0.000 0.000
2.592 4.490 0.000
2.592 1.497 4.233
ATOMIC_POSITIONS crystal
Cd 0.250 0.250 0.250
Os 0.750 0.750 0.750
Ce 0.000 0.000 0.000
La 0.500 0.500 0.500
```

***

2.
Compound: CeYIr
Source: Alexandria
Functional: GGA-PBE
Structure: relaxed Values from VASP.

## Properties
Energy relative to the elements   -54 kJ per mole of atoms
Uncorrected energy   -45.9 eV for the cell shown
Crystal system   monoclinic
Total magnetic moment   0.1 μB per formula unit

```
&SYSTEM
  ibrav = 0, nat = 6, ntyp = 3
/
ATOMIC_SPECIES
Ce 140.12 Ce.upf
Y 88.91 Y.upf
Ir 192.22 Ir.upf
CELL_PARAMETERS angstrom
4.713 -0.225 -0.041
0.183 3.820 -0.031
0.073 0.062 8.105
ATOMIC_POSITIONS crystal
Ce 0.814 0.379 0.967
Ce 0.314 0.854 0.872
Y 0.814 0.868 0.552
Y 0.314 0.365 0.287
Ir 0.814 0.871 0.203
Ir 0.314 0.362 0.636
```

***

3.
Compound: Li2Be2Cd
Source: Alexandria
Functional: GGA-PBE
Structure: relaxed Values from VASP.

## Properties
Energy relative to the elements   30 kJ per mole of atoms
Uncorrected energy   -21.3 eV for the cell shown
Crystal system   tetragonal
Total magnetic moment   0.0 μB per formula unit

```
&SYSTEM
  ibrav = 0, nat = 10, ntyp = 3
/
ATOMIC_SPECIES
Be 9.01 Be.upf
Li 6.94 Li.upf
Cd 112.41 Cd.upf
CELL_PARAMETERS angstrom
-2.571 -2.095 -5.946
6.118 0.723 -2.900
0.631 -2.667 0.667
ATOMIC_POSITIONS crystal
Be 0.147 0.647 0.500
Be 0.647 0.853 0.500
Be 0.853 0.353 0.500
Be 0.353 0.147 0.500
Li 0.362 0.862 0.000
Li 0.862 0.638 0.000
Li 0.638 0.138 0.000
Li 0.138 0.362 0.000
Cd 0.000 0.000 0.000
Cd 0.500 0.500 0.000
```

***

4.
Compound: SmAl2Te4
Source: Alexandria
Functional: GGA-PBE
Structure: relaxed Values from VASP.

## Properties
Uncorrected energy   -28.4 eV for the cell shown
Raw formation energy   -3.606 eV/f.u.
Crystal system   tetragonal
Total magnetic moment   0.8 μB per formula unit

```
&SYSTEM
  ibrav = 0, nat = 7, ntyp = 3
/
ATOMIC_SPECIES
Sm 150.36 Sm.upf
Al 26.98 Al.upf
Te 127.60 Te.upf
CELL_PARAMETERS angstrom
6.784 -0.011 0.000
-3.276 5.940 0.000
-1.754 -2.965 5.844
ATOMIC_POSITIONS crystal
Sm 0.500 0.500 0.000
Al 0.250 0.750 0.500
Al 0.750 0.250 0.500
Te 0.313 0.164 0.477
Te 0.836 0.313 0.149
Te 0.164 0.687 0.851
Te 0.687 0.836 0.523
```

***

5.
Compound: Sc2SiOs
Source: Alexandria
Functional: GGA-PBE
Structure: relaxed Values from VASP.

## Properties
Uncorrected energy   -28.6 eV for the cell shown
Raw formation energy   0.746 eV/f.u.
Crystal system   trigonal
Total magnetic moment   0.0 μB per formula unit

```
&SYSTEM
  ibrav = 0, nat = 4, ntyp = 3
/
ATOMIC_SPECIES
Sc 44.96 Sc.upf
Si 28.09 Si.upf
Os 190.23 Os.upf
CELL_PARAMETERS angstrom
1.754 0.000 9.053
-0.877 1.519 9.053
-0.877 -1.519 9.053
ATOMIC_POSITIONS crystal
Sc 0.911 0.911 0.911
Sc 0.089 0.089 0.089
Si 0.500 0.500 0.500
Os 0.000 0.000 0.000
```

***

6.
Compound: MgZrSc4
Source: Alexandria
Functional: GGA-PBE
Structure: relaxed Values from VASP.

## Properties
Energy relative to the elements   0 kJ per mole of atoms
Uncorrected energy   -35.5 eV for the cell shown
Crystal system   tetragonal
Total magnetic moment   0.0 μB per formula unit

```
&SYSTEM
  ibrav = 0, nat = 6, ntyp = 3
/
ATOMIC_SPECIES
Mg 24.30 Mg.upf
Zr 91.22 Zr.upf
Sc 44.96 Sc.upf
CELL_PARAMETERS angstrom
3.236 -0.001 0.000
0.001 3.236 0.000
-0.001 -0.001 13.645
ATOMIC_POSITIONS crystal
Mg 0.500 0.500 0.500
Zr 0.000 0.000 0.000
Sc 0.500 0.500 0.837
Sc 0.500 0.500 0.163
Sc 0.000 0.000 0.665
Sc 0.000 0.000 0.335
```